(1)
An optimized crystal structure of KPtI2, computed with PBE.

POSCAR file:
```
KPtI2
1.0
0.0000 3.9017 3.9017
3.9017 0.0000 3.9017
3.9017 3.9017 0.0000
K Pt I
1 1 2
Cartesian
0.0000 0.0000 0.0000 K
3.9017 3.9017 3.9017 Pt
1.9509 1.9509 1.9509 I
5.8526 5.8526 5.8526 I
```

Summary:
- Energy relative to the elements, uncorrected: 0.062 eV/atom
- E_tot: -2.498 eV per atom
- DOS(E_F): 9.9 states/eV/cell
- Offset from the most stable computed form: 457 meV/atom
- Magnetic moment: 1.0 μB/cell

***

(2)
An optimized crystal structure of CdTcO3, computed with PBE.

POSCAR file:
```
CdTcO3
1.0
5.5056 0.0000 0.0000
0.0000 7.8772 0.0000
0.0000 0.0000 5.4690
Cd Tc O
4 4 12
Cartesian
0.2268 1.9693 0.0414 Cd
2.5260 5.9079 2.7759 Cd
2.9796 1.9693 2.6931 Cd
5.2788 5.9079 5.4276 Cd
0.0000 0.0000 2.7345 Tc
0.0000 3.9386 2.7345 Tc
2.7528 0.0000 0.0000 Tc
2.7528 3.9386 0.0000 Tc
0.2164 5.9079 2.1793 O
1.0996 4.3599 4.3848 O
1.0996 7.4559 4.3848 O
1.6532 0.4213 1.6503 O
1.6532 3.5173 1.6503 O
2.5364 1.9693 4.9138 O
2.9692 5.9079 0.5552 O
3.8524 4.3599 3.8187 O
3.8524 7.4559 3.8187 O
4.4060 0.4213 1.0842 O
4.4060 3.5173 1.0842 O
5.2892 1.9693 3.2897 O
```

Summary:
- Energy relative to the elements, uncorrected: -1.140 eV/atom
- E_tot: -6.371 eV per atom
- DOS(E_F): 10.7 states/eV/cell
- Magnetic moment: 8.7 μB/cell

***

(3)
An optimized crystal structure of Pr2Al5Zn3, computed with PBE.

POSCAR file:
```
Pr2Al5Zn3
1.0
-5.4657 6.0297 3.0120
5.4657 -6.0297 3.0120
5.4657 6.0297 -3.0120
Pr Al Zn
4 10 6
Cartesian
2.7149 1.5246 0.0000 Pr
2.7149 -1.5246 3.0120 Pr
2.7507 7.5543 0.0000 Pr
2.7507 4.5051 3.0120 Pr
5.4657 -2.9529 1.5060 Al
9.4439 1.4720 0.0000 Al
5.4657 0.0000 1.5060 Al
3.9782 4.5577 0.0000 Al
5.4657 2.9529 1.5060 Al
0.0000 3.0768 1.5060 Al
1.4875 1.4720 3.0120 Al
0.0000 6.0297 1.5060 Al
-3.9782 4.5577 3.0120 Al
0.0000 8.9825 1.5060 Al
6.9726 1.4767 0.0000 Zn
0.0000 0.0000 1.5060 Zn
1.5069 4.5529 0.0000 Zn
3.9588 1.4767 3.0120 Zn
0.0000 0.0000 4.5180 Zn
-1.5069 4.5529 3.0120 Zn
```

Summary:
- E_tot: -3.630 eV per atom
- DOS(E_F): 3.3 states/eV/cell
- Offset from the most stable computed form: 0 meV/atom
- Magnetic moment: 0.0 μB/cell

***

(4)
An optimized crystal structure of LaTiPd3, computed with PBE.

POSCAR file:
```
LaTiPd3
1.0
6.3568 0.0000 0.0000
-3.1784 5.5051 0.0000
0.0000 0.0000 5.8833
La Ti Pd
2 2 6
Cartesian
0.0000 3.6701 1.4708 La
3.1784 1.8350 4.4125 La
0.0000 0.0000 0.0000 Ti
0.0000 0.0000 2.9417 Ti
0.0000 2.0910 4.4125 Pd
-1.3675 4.4596 4.4125 Pd
1.8108 1.0455 1.4708 Pd
1.3675 4.4596 4.4125 Pd
4.5459 1.0455 1.4708 Pd
3.1784 3.4141 1.4708 Pd
```

Summary:
- E_tot: -6.306 eV per atom
- DOS(E_F): 5.2 states/eV/cell
- Offset from the most stable computed form: 0 meV/atom
- Magnetic moment: 0.0 μB/cell

***

(5)
An optimized crystal structure of BeAs2SBr, computed with PBE.

POSCAR file:
```
BeAs2SBr
1.0
4.7031 0.0000 0.0000
0.0000 4.7031 0.0000
0.0000 0.0000 4.3785
Be As S Br
1 2 1 1
Cartesian
0.0000 0.0000 0.0000 Be
0.0000 2.3515 0.0000 As
2.3515 0.0000 0.0000 As
2.3515 2.3515 2.1893 S
0.0000 0.0000 2.1893 Br
```

Summary:
- Energy relative to the elements, uncorrected: 0.589 eV/atom
- E_tot: -3.177 eV per atom
- DOS(E_F): 2.5 states/eV/cell
- Offset from the most stable computed form: 0 meV/atom
- Magnetic moment: 0.0 μB/cell

***

(6)
An optimized crystal structure of Th5Bi2Ir, computed with PBE.

POSCAR file:
```
Th5Bi2Ir
1.0
2.9725 -5.0507 0.0000
2.9725 5.0507 0.0000
0.0000 0.0000 16.8178
Th Bi Ir
10 4 2
Cartesian
2.9725 4.3441 10.2650 Th
2.9725 4.3441 14.9617 Th
2.9725 2.5858 4.2044 Th
2.9725 0.8795 10.5403 Th
2.9725 0.8795 14.6864 Th
2.9725 -0.8795 2.1314 Th
2.9725 -0.8795 6.2775 Th
2.9725 -2.5858 12.6133 Th
2.9725 -4.3441 1.8561 Th
2.9725 -4.3441 6.5528 Th
2.9725 2.3767 0.9472 Bi
2.9725 2.3767 7.4617 Bi
2.9725 -2.3767 9.3561 Bi
2.9725 -2.3767 15.8706 Bi
2.9725 2.7640 12.6133 Ir
2.9725 -2.7640 4.2044 Ir
```

Summary:
- E_tot: -6.993 eV per atom
- DOS(E_F): 19.5 states/eV/cell
- Offset from the most stable computed form: 277 meV/atom
- Magnetic moment: 0.0 μB/cell

***

(7)
An optimized crystal structure of SrLa2Si, computed with PBE.

POSCAR file:
```
SrLa2Si
1.0
4.0747 0.0000 0.0000
0.0000 4.0747 0.0000
0.0000 0.0000 7.9598
Sr La Si
1 2 1
Cartesian
0.0000 0.0000 0.0000 Sr
0.0000 0.0000 4.6542 La
2.0374 2.0374 2.9381 La
2.0374 2.0374 5.9544 Si
```

Summary:
- Energy relative to the elements, uncorrected: -0.174 eV/atom
- E_tot: -4.414 eV per atom
- DOS(E_F): 3.6 states/eV/cell
- Magnetic moment: 0.0 μB/cell

***

(8)
An optimized crystal structure of ScFeAu2, computed with PBE.

POSCAR file:
```
ScFeAu2
1.0
1.6427 0.9484 8.0718
-1.6427 0.9484 8.0718
0.0000 -1.8969 8.0718
Sc Fe Au
1 1 2
Cartesian
0.0000 0.0000 0.0000 Sc
0.0000 0.0000 12.1076 Fe
0.0000 0.0000 5.9705 Au
0.0000 0.0000 18.2447 Au
```

Summary:
- E_tot: -5.367 eV per atom
- DOS(E_F): 3.7 states/eV/cell
- Magnetic moment: 3.1 μB/cell

***

(9)
An optimized crystal structure of DyAsPd, computed with PBE.

POSCAR file:
```
DyAsPd
1.0
7.0234 0.0000 0.0000
0.0000 4.1307 0.0000
-0.1082 0.0000 12.0355
Dy As Pd
6 6 6
Cartesian
0.2108 1.0327 1.4924 Dy
1.1456 1.0327 5.0818 Dy
3.1768 3.0980 9.5487 Dy
3.7384 1.0327 2.4868 Dy
5.7696 3.0980 6.9537 Dy
6.7044 3.0980 10.5431 Dy
1.6749 3.0980 3.0142 As
1.6759 3.0980 7.0727 As
1.6645 1.0327 11.0570 As
5.2507 3.0980 0.9785 As
5.2393 1.0327 4.9628 As
5.2403 1.0327 9.0213 As
0.8097 1.0327 8.5090 Pd
2.4918 3.0980 0.5095 Pd
3.4575 3.0980 4.9221 Pd
3.4576 1.0327 7.1134 Pd
4.4234 1.0327 11.5260 Pd
6.1055 3.0980 3.5265 Pd
```

Summary:
- E_tot: -6.007 eV per atom
- DOS(E_F): 3.2 states/eV/cell
- Magnetic moment: 0.0 μB/cell

***

(10)
An optimized crystal structure of Ce3Pm2Os2, computed with PBE.

POSCAR file:
```
Ce3Pm2Os2
1.0
5.8801 -1.9581 0.0000
5.8801 1.9581 0.0000
-3.4386 0.0000 7.9191
Ce Pm Os
3 2 2
Cartesian
0.0000 0.0000 0.0000 Ce
-0.1011 0.0000 3.4948 Ce
8.4226 0.0000 4.4243 Ce
3.3405 0.0000 1.5247 Pm
4.9811 0.0000 6.3944 Pm
1.5513 0.0000 6.0740 Os
6.7702 0.0000 1.8451 Os
```

Summary:
- E_tot: -7.258 eV per atom
- DOS(E_F): 12.2 states/eV/cell
- Magnetic moment: 0.0 μB/cell

***

(11)
An optimized crystal structure of Li6PuO4, computed with PBE.

POSCAR file:
```
Li6PuO4
1.0
7.0736 0.0000 0.0000
0.0000 7.0736 0.0000
0.0000 0.0000 4.8909
Li Pu O
12 2 8
Cartesian
0.3157 3.8525 1.2227 Li
0.3157 6.7580 1.2227 Li
1.7684 1.7684 1.1251 Li
1.7684 1.7684 3.5705 Li
3.2212 3.8525 1.2227 Li
3.2212 6.7580 1.2227 Li
3.8525 0.3157 3.6682 Li
3.8525 3.2212 3.6682 Li
5.3052 5.3052 1.3204 Li
5.3052 5.3052 3.7659 Li
6.7580 0.3157 3.6682 Li
6.7580 3.2212 3.6682 Li
1.7684 5.3052 3.6682 Pu
5.3052 1.7684 1.2227 Pu
0.1591 1.7684 2.3833 O
1.7684 0.1591 4.8288 O
1.7684 3.3778 4.8288 O
3.3778 1.7684 2.3833 O
3.6959 5.3052 2.5076 O
5.3052 3.6959 0.0622 O
5.3052 6.9146 0.0622 O
6.9146 5.3052 2.5076 O
```

Summary:
- Energy relative to the elements, uncorrected: -1.843 eV/atom
- E_tot: -5.992 eV per atom
- DOS(E_F): 20.4 states/eV/cell
- Magnetic moment: 11.6 μB/cell

***

(12)
An optimized crystal structure of Li3FeP, computed with PBE.

POSCAR file:
```
Li3FeP
1.0
4.6137 0.0000 0.0000
0.0000 4.6137 0.0000
0.0000 0.0000 4.6137
Li Fe P
3 1 1
Cartesian
0.0000 0.0000 2.3068 Li
0.0000 2.3068 0.0000 Li
2.3068 0.0000 0.0000 Li
2.3068 2.3068 2.3068 Fe
0.0000 0.0000 0.0000 P
```

Summary:
- E_tot: -3.624 eV per atom
- DOS(E_F): 4.2 states/eV/cell
- Offset from the most stable computed form: 0 meV/atom
- Magnetic moment: 3.9 μB/cell